Compound: CoPt
Source: Alexandria via LeMat-Bulk
Functional: PBEsol
Structure: optimized geometry

Properties
Formation energy (meV/atom): -17
Symmetry: P-6m2 (187)
Uncorrected energy (eV per atom): -7.368

Cell lengths 2.6785, 2.6785, 4.1949 Å; angles 90.00, 90.00, 120.00 degrees
With the nearest neighbours (Å) after each atom.
Sites, in units of the cell vectors:
Co (0.0000, 0.0000, 0.0000)  6 Pt 2.61, 6 Co 2.68
Pt (0.6667, 0.3333, 0.5000)  6 Co 2.61, 6 Pt 2.68